# 1
# Ce2ScPaCo2 (GGA-PBE, optimized geometry)
# * E_form: -1.12 eV per formula unit
# * DOS(E_F): 12.46 states/eV/f.u.
data_Ce2ScPaCo2
_chemical_formula_sum 'Ce8 Sc4 Pa4 Co8'
_cell_length_a 6.5181
_cell_length_b 12.2549
_cell_length_c 6.6302
_cell_angle_alpha 90.00
_cell_angle_beta 90.00
_cell_angle_gamma 90.00
_symmetry_space_group_name_H-M 'I b a m'
_symmetry_Int_Tables_number 72
_symmetry_space_group_name_Hall '-I 2 2c'
loop_
_atom_site_label
_atom_site_type_symbol
_atom_site_fract_x
_atom_site_fract_y
_atom_site_fract_z
_atom_site_occupancy
Ce1 Ce 0.2397 0.1967 0.0000 1
Sc1 Sc 0.0000 0.5000 0.2500 1
Pa1 Pa 0.0000 0.0000 0.2500 1
Co1 Co 0.2304 0.1002 0.5000 1

# 2
# YMnTl2 (GGA-PBE, optimized geometry)
# * E_form: 1.35 eV per formula unit
# * DOS(E_F): 4.22 states/eV/f.u.
data_YMnTl2
_chemical_formula_sum 'Y4 Mn4 Tl8'
_cell_length_a 4.5574
_cell_length_b 4.5574
_cell_length_c 20.9216
_cell_angle_alpha 90.00
_cell_angle_beta 90.00
_cell_angle_gamma 90.00
_symmetry_space_group_name_H-M 'I -4 2 d'
_symmetry_Int_Tables_number 122
_symmetry_space_group_name_Hall 'I -4 2bw'
loop_
_atom_site_label
_atom_site_type_symbol
_atom_site_fract_x
_atom_site_fract_y
_atom_site_fract_z
_atom_site_occupancy
Y1 Y 0.0000 0.0000 0.0000 1
Mn1 Mn 0.0000 0.0000 0.5000 1
Tl1 Tl 0.2281 0.2500 0.6250 1

# 3
# Pr4CoCCl2 (GGA-PBE, optimized geometry)
# * DOS(E_F): 6.30 states/eV/f.u.
# * formation energy (no corrections): -0.8343 eV/atom
data_Pr4CoCCl2
_chemical_formula_sum 'Pr4 Co1 C1 Cl2'
_cell_length_a 7.1019
_cell_length_b 3.8114
_cell_length_c 7.6565
_cell_angle_alpha 90.00
_cell_angle_beta 107.19
_cell_angle_gamma 90.00
_symmetry_space_group_name_H-M 'P 1 2/m 1'
_symmetry_Int_Tables_number 10
_symmetry_space_group_name_Hall '-P 2y'
loop_
_atom_site_label
_atom_site_type_symbol
_atom_site_fract_x
_atom_site_fract_y
_atom_site_fract_z
_atom_site_occupancy
Pr1 Pr 0.2124 0.0000 0.1949 1
Pr2 Pr 0.2657 0.5000 0.8044 1
Co1 Co 0.5000 0.0000 0.0000 1
C1 C 0.0000 0.5000 0.0000 1
Cl1 Cl 0.0000 0.0000 0.5000 1
Cl2 Cl 0.5000 0.5000 0.5000 1

# 4
# V2CrH (GGA-PBE, optimized geometry)
# * DOS(E_F): 5.35 states/eV/f.u.
data_V2CrH
_chemical_formula_sum 'V6 Cr3 H3'
_cell_length_a 2.6176
_cell_length_b 2.6176
_cell_length_c 21.2969
_cell_angle_alpha 90.00
_cell_angle_beta 90.00
_cell_angle_gamma 120.00
_symmetry_space_group_name_H-M 'R -3 m'
_symmetry_Int_Tables_number 166
_symmetry_space_group_name_Hall '-R 3 2"'
loop_
_atom_site_label
_atom_site_type_symbol
_atom_site_fract_x
_atom_site_fract_y
_atom_site_fract_z
_atom_site_occupancy
V1 V 0.0000 0.0000 0.1079 1
Cr1 Cr 0.0000 0.0000 0.0000 1
H1 H 0.0000 0.0000 0.5000 1

# 5
# TaBiPt (GGA-PBE, optimized geometry)
# * E_form: -0.67 eV per formula unit
# * DOS(E_F): 1.21 states/eV/f.u.
data_TaBiPt
_chemical_formula_sum 'Ta2 Bi2 Pt2'
_cell_length_a 3.1739
_cell_length_b 3.5776
_cell_length_c 11.7553
_cell_angle_alpha 90.00
_cell_angle_beta 90.00
_cell_angle_gamma 90.00
_symmetry_space_group_name_H-M 'P m m n'
_symmetry_Int_Tables_number 59
loop_
_symmetry_equiv_pos_as_xyz
'x,y,z'
'-x,-y,-z'
'-x+1/2,-y+1/2,z'
'x+1/2,y+1/2,-z'
'x+1/2,-y,-z'
'-x+1/2,y,z'
'-x,y+1/2,-z'
'x,-y+1/2,z'
loop_
_atom_site_label
_atom_site_type_symbol
_atom_site_fract_x
_atom_site_fract_y
_atom_site_fract_z
_atom_site_occupancy
Ta1 Ta 0.2500 0.2500 0.1774 1
Bi1 Bi 0.2500 0.2500 0.6446 1
Pt1 Pt 0.2500 0.2500 0.9337 1

# 6
# PrSmCoAu (GGA-PBE, optimized geometry)
# * E_form: -1.24 eV per formula unit
# * DOS(E_F): 3.50 states/eV/f.u.
data_PrSmCoAu
_chemical_formula_sum 'Pr4 Sm4 Co4 Au4'
_cell_length_a 7.2059
_cell_length_b 7.2059
_cell_length_c 7.2059
_cell_angle_alpha 90.00
_cell_angle_beta 90.00
_cell_angle_gamma 90.00
_symmetry_space_group_name_H-M 'F -4 3 m'
_symmetry_Int_Tables_number 216
_symmetry_space_group_name_Hall 'F -4 2 3'
loop_
_atom_site_label
_atom_site_type_symbol
_atom_site_fract_x
_atom_site_fract_y
_atom_site_fract_z
_atom_site_occupancy
Pr1 Pr 0.0000 0.0000 0.0000 1
Sm1 Sm 0.0000 0.0000 0.5000 1
Co1 Co 0.2500 0.2500 0.2500 1
Au1 Au 0.2500 0.2500 0.7500 1

# 7
# TmCoCuPb (GGA-PBE, optimized geometry)
# * E_form: -0.17 eV per formula unit
# * DOS(E_F): 4.03 states/eV/f.u.
data_TmCoCuPb
_chemical_formula_sum 'Tm4 Co4 Cu4 Pb4'
_cell_length_a 6.5878
_cell_length_b 6.5878
_cell_length_c 6.5878
_cell_angle_alpha 90.00
_cell_angle_beta 90.00
_cell_angle_gamma 90.00
_symmetry_space_group_name_H-M 'F -4 3 m'
_symmetry_Int_Tables_number 216
_symmetry_space_group_name_Hall 'F -4 2 3'
loop_
_atom_site_label
_atom_site_type_symbol
_atom_site_fract_x
_atom_site_fract_y
_atom_site_fract_z
_atom_site_occupancy
Tm1 Tm 0.0000 0.0000 0.0000 1
Co1 Co 0.2500 0.2500 0.7500 1
Cu1 Cu 0.2500 0.2500 0.2500 1
Pb1 Pb 0.0000 0.0000 0.5000 1

# 8
# ScHg2Os (GGA-PBE, optimized geometry)
# * E_form: 1.17 eV per formula unit
# * DOS(E_F): 2.35 states/eV/f.u.
data_ScHg2Os
_chemical_formula_sum 'Sc1 Hg2 Os1'
_cell_length_a 3.6054
_cell_length_b 3.6054
_cell_length_c 5.8619
_cell_angle_alpha 90.00
_cell_angle_beta 90.00
_cell_angle_gamma 90.00
_symmetry_space_group_name_H-M 'P 4/m m m'
_symmetry_Int_Tables_number 123
_symmetry_space_group_name_Hall '-P 4 2'
loop_
_atom_site_label
_atom_site_type_symbol
_atom_site_fract_x
_atom_site_fract_y
_atom_site_fract_z
_atom_site_occupancy
Sc1 Sc 0.0000 0.0000 0.0000 1
Hg1 Hg 0.5000 0.5000 0.2566 1
Os1 Os 0.0000 0.0000 0.5000 1

How do the records compare in total DFT energy (no corrections)? In the order shown, they have -172.09; -76.05; -45.82; -90.27; -44.90; -84.48; -78.19; -16.99 eV/cell.